(1)
## LiPW2 (GGA-PBE)

Data for crystalline LiPW2 at its relaxed geometry.

Cell: 3.218 3.218 5.434 Å, 90.00 90.00 90.00°
Fractional positions:
Li  0.000  0.000  0.513
P  0.500  0.500  0.738
W  0.000  0.000  0.995
W  0.500  0.500  0.254

The density of states at the Fermi level comes out at 1.513 states/eV per cell. The calculation puts the formation energy at 81 meV/atom. The size of the total moment comes out at 0.0 μB/cell. The density comes out at 12.0 g/cm³. The calculation puts the volume at 56.3 Å³/f.u.

=====

(2)
## Ce2DyGe3Pd4 (GGA-PBE)

Data for crystalline Ce2DyGe3Pd4 at its relaxed geometry.

Cell: 4.256 4.256 11.356 Å, 90.00 90.00 90.00°
Fractional positions:
Ce  0.500  0.000  0.223
Ce  0.000  0.500  0.777
Dy  0.500  0.500  0.500
Ge  0.000  0.000  0.500
Ge  0.500  0.000  0.876
Ge  0.000  0.500  0.124
Pd  0.500  0.500  0.000
Pd  0.000  0.000  0.000
Pd  0.500  0.000  0.658
Pd  0.000  0.500  0.342

The density of states at the Fermi level comes out at 16.461 states/eV per cell. The calculation puts the formation energy at -793 meV/atom. The size of the total moment comes out at 1.7 μB/cell. The density comes out at 8.8 g/cm³. The calculation puts the volume at 205.7 Å³/f.u.

=====

(3)
## CaRe (GGA-PBE)

Data for crystalline CaRe at its relaxed geometry.

Cell: 9.122 9.122 9.122 Å, 90.00 90.00 90.00°
Fractional positions:
Ca  0.206  0.206  0.206
Ca  0.206  0.794  0.794
Ca  0.794  0.206  0.794
Ca  0.794  0.794  0.206
Ca  0.706  0.706  0.706
Ca  0.706  0.294  0.294
Ca  0.294  0.706  0.294
Ca  0.294  0.294  0.706
Re  0.404  0.404  0.404
Re  0.404  0.596  0.596
Re  0.596  0.404  0.596
Re  0.596  0.596  0.404
Re  0.904  0.904  0.904
Re  0.904  0.096  0.096
Re  0.096  0.904  0.096
Re  0.096  0.096  0.904

The density of states at the Fermi level comes out at 27.305 states/eV per cell. Its relative energy among the computed polymorphs is 122.81 kJ/mol of atoms. The calculation puts the formation energy at 1575 meV/atom. The size of the total moment comes out at 11.9 μB/cell. The density comes out at 4.0 g/cm³. The calculation puts the volume at 94.9 Å³/f.u.

=====

(4)
## GeSF2 (GGA-PBE)

Data for crystalline GeSF2 at its relaxed geometry.

Cell: 3.790 3.790 8.246 Å, 76.72 76.72 90.00°
Fractional positions:
Ge  0.000  0.000  0.000
Ge  0.750  0.250  0.500
S  0.500  0.500  0.000
S  0.250  0.750  0.500
F  0.632  0.125  0.250
F  0.118  0.625  0.250
F  0.375  0.368  0.750
F  0.875  0.882  0.750

The density of states at the Fermi level comes out at 2.757 states/eV per cell. Its relative energy among the computed polymorphs is 82.19 kJ/mol of atoms. The value obtained for the formation energy without anion corrections is -17.161 kcal/mol of atoms. The size of the total moment comes out at 0.0 μB/cell. The density comes out at 4.2 g/cm³. The calculation puts the volume at 56.0 Å³/f.u.

=====

(5)
## Co2Cu3 (GGA-PBE)

Data for crystalline Co2Cu3 at its relaxed geometry.

Cell: 10.667 10.667 10.667 Å, 13.47 13.47 13.47°
Fractional positions:
Co  0.600  0.600  0.600
Co  0.400  0.400  0.400
Cu  0.000  0.000  0.000
Cu  0.799  0.799  0.799
Cu  0.201  0.201  0.201

The density of states at the Fermi level comes out at 3.493 states/eV per cell. The calculation puts the formation energy at 107 meV/atom. The size of the total moment comes out at 2.7 μB/cell. The density comes out at 8.9 g/cm³. The calculation puts the volume at 57.3 Å³/f.u.

=====

(6)
## In2BrCl (GGA-PBE)

Data for crystalline In2BrCl at its relaxed geometry.

Cell: 6.787 6.787 6.787 Å, 147.44 132.13 59.09°
Fractional positions:
Cl  0.783  0.283  0.500
Br  0.475  0.475  0.000
In  0.985  0.985  0.000
In  0.257  0.757  0.500

Its relative energy among the computed polymorphs is 8.53 kJ/mol of atoms. The value obtained for the formation energy without anion corrections is -14.876 kcal/mol of atoms. The size of the total moment comes out at 0.0 μB/cell. The density comes out at 4.6 g/cm³. The calculation puts the volume at 123.7 Å³/f.u.